Entry 1:
DFT (SCAN) results for CuBiSeO at its PBEsol-relaxed geometry.

Summary:
V   16.787 A^3/atom
Spin magnetization   0.00 μB per cell
ΔE_f (raw)   -0.61 eV per atom

abc: 3.8926 3.8926 8.8632
angles: 90.00 90.00 90.00
With the nearest neighbours (Å) after each atom.
Space group P4/nmm (No. 129, origin choice 2)
Unique sites:
Cu 0.2500 0.7500 0.0000 x2  4 Se 2.48, 4 Cu 2.75
Bi 0.2500 0.2500 0.3574 x2  4 O 2.32
Se 0.2500 0.2500 0.8264 x2  4 Cu 2.48
O 0.2500 0.7500 0.5000 x2  4 Bi 2.32

Entry 2:
DFT (SCAN) results for CaCu2 at its PBEsol-relaxed geometry.

Summary:
V   19.018 A^3/atom
Formation energy   -8.01 kJ/mol of atoms
Spin magnetization   0.00 μB per cell

abc: 3.9698 3.9698 14.4811
angles: 90.00 90.00 90.00
With the nearest neighbours (Å) after each atom.
Space group I4_1/amd (No. 141, origin choice 2)
Unique sites:
Ca 0.0000 0.2500 0.3750 x4  12 Cu 3.05-3.15
Cu 0.0000 0.2500 0.7935 x8  3 Cu 2.35-2.36

Entry 3:
DFT (SCAN) results for Ba4In2Te2S5 at its PBEsol-relaxed geometry.

Summary:
V   29.181 A^3/atom
Spin magnetization   0.00 μB per cell
ΔE_f (raw)   -1.70 eV per atom

abc: 8.3155 8.3155 10.9721
angles: 90.00 90.00 90.00
With the nearest neighbours (Å) after each atom.
Space group P4/mbm (No. 127)
Unique sites:
Ba 0.0000 0.0000 0.2184 x4  5 S 3.09-3.28
Ba 0.1572 0.3428 0.5000 x4  8 S 3.06-3.38
In 0.0000 0.5000 0.1596 x4  2 S 2.44
Te 0.1875 0.3125 0.0000 x4  2 In 2.82
S 0.0000 0.0000 0.5000 x2  6 Ba 3.09-3.14
S 0.1572 0.6572 0.3050 x8  1 In 2.44

Entry 4:
DFT (SCAN) results for PmDyTl2 at its PBEsol-relaxed geometry.

Summary:
V   26.679 A^3/atom
Formation energy   -54.35 kJ/mol of atoms
Spin magnetization   0.11 μB per cell

abc: 7.5294 7.5294 7.5294
angles: 90.00 90.00 90.00
With the nearest neighbours (Å) after each atom.
Space group Fm-3m (No. 225)
Unique sites:
Pm 0.0000 0.0000 0.0000 x4  8 Tl 3.26
Dy 0.0000 0.0000 0.5000 x4  8 Tl 3.26
Tl 0.2500 0.2500 0.2500 x8  4 Dy 3.26, 4 Pm 3.26

Entry 5:
DFT (SCAN) results for Sr4CoRe at its PBEsol-relaxed geometry.

Summary:
V   29.103 A^3/atom
Formation energy   172.64 kJ/mol of atoms
Spin magnetization   19.58 μB per cell

abc: 8.8726 8.8726 8.8726
angles: 90.00 90.00 90.00
With the nearest neighbours (Å) after each atom.
Space group F-43m (No. 216)
Unique sites:
Sr 0.1245 0.1245 0.1245 x16  6 Sr 3.13-3.15
Co 0.0000 0.0000 0.5000 x4  12 Sr 3.68, 4 Re 3.84
Re 0.2500 0.2500 0.7500 x4  12 Sr 3.68, 4 Co 3.84

Entry 6:
DFT (SCAN) results for Ta3Ni2 at its PBEsol-relaxed geometry.

Summary:
V   15.726 A^3/atom
Formation energy   14.19 kJ/mol of atoms
Spin magnetization   0.00 μB per cell

abc: 4.1604 4.1604 5.2454
angles: 90.00 90.00 120.00
With the nearest neighbours (Å) after each atom.
Space group P-3m1 (No. 164)
Unique sites:
Ta 0.0000 0.0000 0.0000 x1  6 Ni 2.50
Ta 0.3333 0.6667 0.3592 x2  5 Ni 2.59-2.67, 3 Ta 2.82
Ni 0.3333 0.6667 0.8648 x2  8 Ta 2.50-2.67, 3 Ni 2.79